# 1
The following is a PBE-GGA calculation of crystalline UReRh at its relaxed geometry, from the Alexandria database.

Summary:
The size of the total moment is 0.000 μB/cell. The total DFT energy (no corrections) is -10.50 eV per atom. The density of states at the Fermi level comes out at 1.012 states/eV per atom. As for the symmetry: Cmcm (63).

Unit cell a=4.1785 b=3.9535 c=6.5133 alpha=90.00 beta=108.71 gamma=90.00
With the nearest neighbours (Å) after each atom.
Fractional coordinates of all 6 atoms:
Re 0.4067 0.7500 0.8134  4 Rh 2.76-2.85, 6 U 2.88-2.98, 2 Re 3.03
Re 0.5933 0.2500 0.1866  4 Rh 2.76-2.85, 6 U 2.88-2.98, 2 Re 3.03
Rh 0.7493 0.7500 0.4987  4 Re 2.76-2.85, 4 Rh 2.88, 4 U 2.89-2.96
Rh 0.2507 0.2500 0.5013  4 Re 2.76-2.85, 4 Rh 2.88, 4 U 2.89-2.96
U 0.9207 0.2500 0.8414  2 U 2.78, 6 Re 2.88-2.98, 4 Rh 2.89-2.96
U 0.0793 0.7500 0.1586  2 U 2.78, 6 Re 2.88-2.98, 4 Rh 2.89-2.96

# 2
The following is a PBE-GGA calculation of crystalline URe2Rh at its relaxed geometry, from the Alexandria database.

Summary:
The size of the total moment is 0.000 μB/cell. The total DFT energy (no corrections) is -10.97 eV per atom. The density of states at the Fermi level comes out at 1.117 states/eV per atom. As for the symmetry: P4/mmm (123).

Unit cell a=4.0980 b=4.0280 c=4.0280 alpha=90.00 beta=90.00 gamma=90.00
With the nearest neighbours (Å) after each atom.
Fractional coordinates of all 4 atoms:
Re 0.0000 0.0000 0.5000  4 Re 2.85, 4 U 2.87, 4 Rh 2.87
Re 0.0000 0.5000 0.0000  4 Re 2.85, 4 Rh 2.87, 4 U 2.87
U 0.5000 0.0000 0.0000  4 Rh 2.85, 8 Re 2.87
Rh 0.5000 0.5000 0.5000  4 U 2.85, 8 Re 2.87

# 3
The following is a PBE-GGA calculation of crystalline UReRh2 at its relaxed geometry, from the Alexandria database.

Summary:
The size of the total moment is 0.000 μB/cell. The total DFT energy (no corrections) is -10.00 eV per atom. The density of states at the Fermi level comes out at 0.711 states/eV per atom. As for the symmetry: P4/mmm (123).

Unit cell a=4.1105 b=3.9938 c=3.9938 alpha=90.00 beta=90.00 gamma=90.00
With the nearest neighbours (Å) after each atom.
Fractional coordinates of all 4 atoms:
Re 0.5000 0.5000 0.5000  4 U 2.82, 8 Rh 2.87
U 0.5000 0.0000 0.0000  4 Re 2.82, 8 Rh 2.87
Rh 0.0000 0.0000 0.5000  4 Rh 2.82, 4 Re 2.87, 4 U 2.87
Rh 0.0000 0.5000 0.0000  4 Rh 2.82, 4 Re 2.87, 4 U 2.87